# Pr4Y5Er

A relaxed Pr4Y5Er crystal (PBE-GGA, Alexandria).

Computed properties:
Crystal system = tetragonal
Offset from the most stable computed form = 0.0000 eV/atom
Total DFT energy (no corrections) = -5.5802 eV per atom

Cell: 3.6309 3.6309 25.4815 Å, 90.00 90.00 90.00°
Last column: nearest neighbours and their distance in Å.
Atoms (fractional coordinates):
Pr  0.0000  0.0000  0.1009  4 Pr 3.63, 8 Y 3.63-3.64
Pr  0.0000  0.0000  0.3026  8 Y 3.63-3.65, 4 Pr 3.63
Pr  0.0000  0.0000  0.6974  8 Y 3.63-3.65, 4 Pr 3.63
Pr  0.0000  0.0000  0.8991  4 Pr 3.63, 8 Y 3.63-3.64
Y  0.5000  0.5000  0.0000  4 Y 3.63, 8 Pr 3.63
Y  0.5000  0.5000  0.2020  8 Pr 3.63-3.64, 4 Y 3.63
Y  0.5000  0.5000  0.4042  4 Er 3.54, 4 Y 3.63, 4 Pr 3.65
Y  0.5000  0.5000  0.5958  4 Er 3.54, 4 Y 3.63, 4 Pr 3.65
Y  0.5000  0.5000  0.7980  8 Pr 3.63-3.64, 4 Y 3.63
Er  0.0000  0.0000  0.5000  8 Y 3.54, 4 Er 3.63



# CaGa3Br

A relaxed CaGa3Br crystal (PBE-GGA, Alexandria).

Computed properties:
Crystal system = cubic
ΔE_f (raw) = 0.524 eV/atom
Offset from the most stable computed form = 0.3539 eV/atom
Total DFT energy (no corrections) = -2.0271 eV per atom

Cell: 5.8385 5.8385 5.8385 Å, 90.00 90.00 90.00°
Last column: nearest neighbours and their distance in Å.
Atoms (fractional coordinates):
Ca  0.0000  0.0000  0.0000  6 Ga 2.92
Ga  0.0000  0.0000  0.5000  2 Ca 2.92
Ga  0.0000  0.5000  0.0000  2 Ca 2.92
Ga  0.5000  0.0000  0.0000  2 Ca 2.92
Br  0.5000  0.5000  0.5000  12 Ga 4.13



# CaAs2Pd4

A relaxed CaAs2Pd4 crystal (PBE-GGA, Alexandria).

Computed properties:
Crystal system = tetragonal
Total DFT energy (no corrections) = -5.2472 eV per atom

Cell: 7.9534 7.9534 3.9264 Å, 90.00 90.00 90.00°
Last column: nearest neighbours and their distance in Å.
Atoms (fractional coordinates):
Ca  0.0000  0.0000  0.0000  6 As 3.11-3.19, 8 Pd 3.35
Ca  0.5000  0.5000  0.5000  6 As 3.11-3.19, 8 Pd 3.35
As  0.2236  0.2236  0.5000  6 Pd 2.55-2.56
As  0.2764  0.7236  0.0000  6 Pd 2.55-2.56
As  0.7236  0.2764  0.0000  6 Pd 2.55-2.56
As  0.7764  0.7764  0.5000  6 Pd 2.55-2.56
Pd  0.0802  0.6689  0.5000  3 As 2.55-2.56, 1 Pd 2.82
Pd  0.1689  0.4198  0.0000  3 As 2.55-2.56, 1 Pd 2.82
Pd  0.3311  0.9198  0.5000  3 As 2.55-2.56, 1 Pd 2.82
Pd  0.4198  0.1689  0.0000  3 As 2.55-2.56, 1 Pd 2.82
Pd  0.5802  0.8311  0.0000  3 As 2.55-2.56, 1 Pd 2.82
Pd  0.6689  0.0802  0.5000  3 As 2.55-2.56, 1 Pd 2.82
Pd  0.8311  0.5802  0.0000  3 As 2.55-2.56, 1 Pd 2.82
Pd  0.9198  0.3311  0.5000  3 As 2.55-2.56, 1 Pd 2.82



# KGaGeAu4

A relaxed KGaGeAu4 crystal (PBE-GGA, Alexandria).

Computed properties:
Crystal system = monoclinic
Total DFT energy (no corrections) = -3.2683 eV per atom

Cell: 7.2592 7.2592 9.2139 Å, 108.18 108.18 56.98°
Last column: nearest neighbours and their distance in Å.
Atoms (fractional coordinates):
K  0.0055  0.0055  0.2596  5 Au 3.44-3.62
K  0.9945  0.9945  0.7404  5 Au 3.44-3.62
Ga  0.3416  0.3416  0.6136  6 Au 2.52-2.68
Ga  0.6584  0.6584  0.3864  6 Au 2.52-2.68
Ge  0.2851  0.2851  0.1360  4 Au 2.48-2.57
Ge  0.7149  0.7149  0.8640  4 Au 2.48-2.57
Au  0.0716  0.4926  0.3640  1 Ge 2.57, 2 Ga 2.60, 1 Au 2.82
Au  0.2825  0.2825  0.8655  1 Ge 2.48, 1 Ga 2.68
Au  0.4848  0.4848  0.1459  1 Ga 2.52, 1 Ge 2.52
Au  0.4926  0.0716  0.3640  1 Ge 2.57, 2 Ga 2.60, 1 Au 2.82
Au  0.5074  0.9284  0.6360  1 Ge 2.57, 2 Ga 2.60, 1 Au 2.82
Au  0.5152  0.5152  0.8541  1 Ga 2.52, 1 Ge 2.52
Au  0.7175  0.7175  0.1345  1 Ge 2.48, 1 Ga 2.68
Au  0.9284  0.5074  0.6360  1 Ge 2.57, 2 Ga 2.60, 1 Au 2.82



# Mg4H2Ir3

A relaxed Mg4H2Ir3 crystal (PBE-GGA, Alexandria).

Computed properties:
Crystal system = triclinic
Offset from the most stable computed form = 0.0163 eV/atom
Total DFT energy (no corrections) = -4.6987 eV per atom

Cell: 4.4841 4.5660 7.0923 Å, 106.81 90.31 119.13°
Last column: nearest neighbours and their distance in Å.
Atoms (fractional coordinates):
Mg  0.1412  0.2787  0.4087  1 H 2.30
Mg  0.2893  0.5800  0.8679  3 H 2.09-2.25
Mg  0.7107  0.4200  0.1321  3 H 2.09-2.25
Mg  0.8588  0.7213  0.5913  1 H 2.30
H  0.2338  0.4641  0.1343  2 Ir 1.77-1.78
H  0.7662  0.5359  0.8657  2 Ir 1.77-1.78
Ir  0.0000  0.0000  0.0000  2 H 1.78
Ir  0.4551  0.9038  0.3079  1 H 1.77
Ir  0.5449  0.0962  0.6921  1 H 1.77



# Re5Pb3N12

A relaxed Re5Pb3N12 crystal (PBE-GGA, Alexandria).

Computed properties:
Crystal system = cubic
ΔE_f (raw) = 0.228 eV/atom
Total DFT energy (no corrections) = -8.4358 eV per atom

Cell: 11.4334 11.4334 11.4334 Å, 109.47 109.47 109.47°
Last column: nearest neighbours and their distance in Å.
Atoms (fractional coordinates):
Re  0.0000  0.0000  0.0000  6 N 2.03
Re  0.0000  0.0000  0.5000  6 N 2.03
Re  0.0000  0.5000  0.0000  6 N 2.03
Re  0.0000  0.5000  0.5000  6 N 2.03
Re  0.1250  0.7500  0.8750  4 N 1.85
Re  0.1250  0.8750  0.2500  4 N 1.85
Re  0.2500  0.1250  0.8750  4 N 1.85
Re  0.2500  0.6250  0.3750  4 N 1.85
Re  0.3750  0.2500  0.6250  4 N 1.85
Re  0.3750  0.6250  0.7500  4 N 1.85
Re  0.5000  0.0000  0.0000  6 N 2.03
Re  0.5000  0.0000  0.5000  6 N 2.03
Re  0.5000  0.5000  0.0000  6 N 2.03
Re  0.5000  0.5000  0.5000  6 N 2.03
Re  0.6250  0.3750  0.2500  4 N 1.85
Re  0.6250  0.7500  0.3750  4 N 1.85
Re  0.7500  0.3750  0.6250  4 N 1.85
Re  0.7500  0.8750  0.1250  4 N 1.85
Re  0.8750  0.1250  0.7500  4 N 1.85
Re  0.8750  0.2500  0.1250  4 N 1.85
Pb  0.1250  0.2500  0.3750  8 N 2.61-2.91
Pb  0.1250  0.3750  0.7500  8 N 2.61-2.91
Pb  0.2500  0.3750  0.1250  8 N 2.61-2.91
Pb  0.2500  0.8750  0.6250  8 N 2.61-2.91
Pb  0.3750  0.1250  0.2500  8 N 2.61-2.91
Pb  0.3750  0.7500  0.1250  8 N 2.61-2.91
Pb  0.6250  0.2500  0.8750  8 N 2.61-2.91
Pb  0.6250  0.8750  0.7500  8 N 2.61-2.91
Pb  0.7500  0.1250  0.3750  8 N 2.61-2.91
Pb  0.7500  0.6250  0.8750  8 N 2.61-2.91
Pb  0.8750  0.6250  0.2500  8 N 2.61-2.91
Pb  0.8750  0.7500  0.6250  8 N 2.61-2.91
N  0.0046  0.6835  0.1108  2 Re 1.85-2.03
N  0.0046  0.8210  0.8937  2 Re 1.85-2.03
N  0.0727  0.6790  0.6835  2 Re 1.85-2.03
N  0.0727  0.8937  0.3892  2 Re 1.85-2.03
N  0.1063  0.6108  0.9273  2 Re 1.85-2.03
N  0.1063  0.9954  0.1790  2 Re 1.85-2.03
N  0.1108  0.0046  0.6835  2 Re 1.85-2.03
N  0.1108  0.6063  0.4273  2 Re 1.85-2.03
N  0.1790  0.1063  0.9954  2 Re 1.85-2.03
N  0.1790  0.5727  0.1835  2 Re 1.85-2.03
N  0.1835  0.1790  0.5727  2 Re 1.85-2.03
N  0.1835  0.5046  0.6108  2 Re 1.85-2.03
N  0.3165  0.8892  0.9954  2 Re 1.85-2.03
N  0.3165  0.9273  0.3210  2 Re 1.85-2.03
N  0.3210  0.3165  0.9273  2 Re 1.85-2.03
N  0.3210  0.5046  0.3937  2 Re 1.85-2.03
N  0.3892  0.0727  0.8937  2 Re 1.85-2.03
N  0.3892  0.8165  0.4954  2 Re 1.85-2.03
N  0.3937  0.3210  0.5046  2 Re 1.85-2.03
N  0.3937  0.5727  0.8892  2 Re 1.85-2.03
N  0.4273  0.1108  0.6063  2 Re 1.85-2.03
N  0.4273  0.8165  0.8210  2 Re 1.85-2.03
N  0.4954  0.3892  0.8165  2 Re 1.85-2.03
N  0.4954  0.6063  0.6790  2 Re 1.85-2.03
N  0.5046  0.3937  0.3210  2 Re 1.85-2.03
N  0.5046  0.6108  0.1835  2 Re 1.85-2.03
N  0.5727  0.1835  0.1790  2 Re 1.85-2.03
N  0.5727  0.8892  0.3937  2 Re 1.85-2.03
N  0.6063  0.4273  0.1108  2 Re 1.85-2.03
N  0.6063  0.6790  0.4954  2 Re 1.85-2.03
N  0.6108  0.1835  0.5046  2 Re 1.85-2.03
N  0.6108  0.9273  0.1063  2 Re 1.85-2.03
N  0.6790  0.4954  0.6063  2 Re 1.85-2.03
N  0.6790  0.6835  0.0727  2 Re 1.85-2.03
N  0.6835  0.0727  0.6790  2 Re 1.85-2.03
N  0.6835  0.1108  0.0046  2 Re 1.85-2.03
N  0.8165  0.4954  0.3892  2 Re 1.85-2.03
N  0.8165  0.8210  0.4273  2 Re 1.85-2.03
N  0.8210  0.4273  0.8165  2 Re 1.85-2.03
N  0.8210  0.8937  0.0046  2 Re 1.85-2.03
N  0.8892  0.3937  0.5727  2 Re 1.85-2.03
N  0.8892  0.9954  0.3165  2 Re 1.85-2.03
N  0.8937  0.0046  0.8210  2 Re 1.85-2.03
N  0.8937  0.3892  0.0727  2 Re 1.85-2.03
N  0.9273  0.1063  0.6108  2 Re 1.85-2.03
N  0.9273  0.3210  0.3165  2 Re 1.85-2.03
N  0.9954  0.1790  0.1063  2 Re 1.85-2.03
N  0.9954  0.3165  0.8892  2 Re 1.85-2.03



# Nb2FeTcH

A relaxed Nb2FeTcH crystal (PBE-GGA, Alexandria).

Computed properties:
Crystal system = tetragonal
Offset from the most stable computed form = 0.1340 eV/atom
Total DFT energy (no corrections) = -8.4632 eV per atom

Cell: 4.3128 4.3128 3.5435 Å, 90.00 90.00 90.00°
Last column: nearest neighbours and their distance in Å.
Atoms (fractional coordinates):
Nb  0.0000  0.5000  0.0000  2 H 2.16
Nb  0.5000  0.0000  0.0000  2 H 2.16
Fe  0.0000  0.0000  0.5000  8 Nb 2.79, 4 Tc 3.05
Tc  0.5000  0.5000  0.5000  2 H 1.77
H  0.5000  0.5000  0.0000  2 Tc 1.77



# KCrP2Os

A relaxed KCrP2Os crystal (PBE-GGA, Alexandria).

Computed properties:
Crystal system = tetragonal
Total DFT energy (no corrections) = -5.0416 eV per atom

Cell: 4.5077 4.5077 5.2344 Å, 90.00 90.00 90.00°
Last column: nearest neighbours and their distance in Å.
Atoms (fractional coordinates):
K  0.0000  0.0000  0.0000  2 Cr 2.62
Cr  0.0000  0.0000  0.5000  4 P 2.25
P  0.0000  0.5000  0.5000  2 Cr 2.25
P  0.5000  0.0000  0.5000  2 Cr 2.25
Os  0.5000  0.5000  0.0000  4 K 3.19, 8 P 3.45